(1)
Material: TbZr2Cu9
Method: DFT, GGA-PBE
State: relaxed

abc: 5.078 5.078 8.661
angles: 72.95 72.95 60.00
Fractional positions:
1 Cu 0.500 0.500 0.500
2 Cu 0.084 0.584 0.749
3 Cu 0.916 0.416 0.251
4 Cu 0.416 0.916 0.251
5 Cu 0.668 0.668 0.997
6 Cu 0.416 0.416 0.251
7 Cu 0.584 0.584 0.749
8 Cu 0.332 0.332 0.003
9 Cu 0.584 0.084 0.749
10 Zr 0.848 0.848 0.455
11 Zr 0.152 0.152 0.545
12 Tb 0.000 0.000 0.000

DFT total energy   -5.029 eV/atom
Calculated formation energy   -1.76 eV per formula unit
M_tot   0.00 μB per cell
SG   R-3m

=====

(2)
Material: Tb3ZrCu4
Method: DFT, GGA-PBE
State: relaxed

abc: 3.433 3.433 13.716
angles: 90.00 90.00 90.00
Fractional positions:
1 Tb 0.500 0.500 0.242
2 Tb 0.500 0.500 0.500
3 Tb 0.500 0.500 0.758
4 Cu 0.000 0.000 0.894
5 Cu 0.000 0.000 0.372
6 Cu 0.000 0.000 0.106
7 Cu 0.000 0.000 0.628
8 Zr 0.500 0.500 0.000

DFT total energy   -5.044 eV/atom
Calculated formation energy   -1.53 eV per formula unit
M_tot   0.63 μB per cell
SG   P4/mmm

=====

(3)
Material: TbZrCu
Method: DFT, GGA-PBE
State: relaxed

abc: 4.136 4.423 4.423
angles: 120.00 90.00 90.00
Fractional positions:
1 Zr 0.167 0.000 0.000
2 Cu 0.166 0.333 0.667
3 Tb 0.667 0.667 0.333

DFT total energy   -5.628 eV/atom
Energy above the lowest structure with this stoichiometry   225 meV/atom
Calculated formation energy   0.39 eV per formula unit
M_tot   0.00 μB per cell
SG   P-6m2

=====

(4)
Material: TbZrCu10
Method: DFT, GGA-PBE
State: relaxed

abc: 4.092 4.978 8.583
angles: 90.00 90.00 90.00
Fractional positions:
1 Zr 0.000 0.500 0.500
2 Tb 0.000 0.000 0.000
3 Cu 0.000 0.000 0.339
4 Cu 0.000 0.000 0.661
5 Cu 0.000 0.500 0.826
6 Cu 0.500 0.746 0.744
7 Cu 0.500 0.254 0.256
8 Cu 0.000 0.500 0.174
9 Cu 0.500 0.500 0.000
10 Cu 0.500 0.254 0.744
11 Cu 0.500 0.746 0.256
12 Cu 0.500 0.000 0.500

DFT total energy   -4.628 eV/atom
Calculated formation energy   -1.39 eV per formula unit
M_tot   0.00 μB per cell
SG   Pmmm